--- i ---
First-principles (PBE-GGA) data for a relaxed structure of CaAg2H, as listed in Alexandria.

Unit cell a=5.9766 b=5.9766 c=8.5892 alpha=90.00 beta=90.00 gamma=90.00
With the nearest neighbours (Å) after each atom.
Space group I-42d (No. 122)
Unique sites:
Ca  0.0000  0.0000  0.0000  12 Ag 3.50-3.55, 4 H 3.68, 4 Ca 3.68
Ag  0.0015  0.7500  0.6250  2 H 1.84
H  0.0000  0.0000  0.5000  4 Ag 1.84

Summary:
calculated volume: 306.80 Å³ per cell
DOS(E_F): 1.0 states/eV/f.u.

=====

--- ii ---
First-principles (PBE-GGA) data for a relaxed structure of CaAg2H, as listed in Alexandria.

Unit cell a=6.8232 b=6.8232 c=6.8232 alpha=90.00 beta=90.00 gamma=90.00
With the nearest neighbours (Å) after each atom.
Space group Fm-3m (No. 225)
Unique sites:
Ca  0.0000  0.0000  0.0000  8 Ag 2.95
Ag  0.2500  0.2500  0.2500  4 H 2.95, 4 Ca 2.95
H  0.0000  0.0000  0.5000  8 Ag 2.95

Summary:
calculated volume: 317.66 Å³ per cell
DOS(E_F): 1.5 states/eV/f.u.

=====

Compare the structures above. Which one is the least stable? ii is.